Entry from Alexandria via LeMat-Bulk: a relaxed Tl3SiRh crystal (PBE-GGA).

Properties
**Uncorrected formation energy**: 0.522 eV/atom
**Crystal system**: cubic
**SG**: Pm-3m
**Fermi-level density of states**: 4.22 states/eV/f.u.
**Calculated volume**: 28.6 Å³/atom
**Mass density**: 8.651 g/cm³
**VASP energy**: -3.4529 eV per atom

The structure in POSCAR format:
```
Tl3SiRh
1.0
5.2274 0.0000 0.0000
0.0000 5.2274 0.0000
0.0000 0.0000 5.2274
Si Tl Rh
1 3 1
Direct
0.5000 0.5000 0.5000
0.5000 0.0000 0.0000
0.0000 0.5000 0.0000
0.0000 0.0000 0.5000
0.0000 0.0000 0.0000
```

---

Entry from Alexandria via LeMat-Bulk: a relaxed SrZrW2 crystal (PBE-GGA).

Properties
**Crystal system**: tetragonal
**SG**: P4mm
**Fermi-level density of states**: 5.19 states/eV/f.u.
**Calculated volume**: 23.5 Å³/atom
**Mass density**: 9.660 g/cm³
**VASP energy**: -8.5154 eV per atom

The structure in POSCAR format:
```
SrZrW2
1.0
-2.1783 0.0172 -2.4490
-1.8232 -2.1997 1.6062
-4.3629 6.4831 3.9264
W Sr Zr
2 1 1
Direct
0.0000 0.0000 0.0684
0.5000 0.5000 0.2208
0.5000 0.5000 0.7884
0.0000 0.0000 0.4224
```

---

Entry from Alexandria via LeMat-Bulk: a relaxed La2Zn2CuNi5 crystal (PBE-GGA).

Properties
**Crystal system**: tetragonal
**SG**: P4/mbm
**Fermi-level density of states**: 5.46 states/eV/f.u.
**Calculated volume**: 16.2 Å³/atom
**Mass density**: 7.871 g/cm³
**VASP energy**: -4.6295 eV per atom

The structure in POSCAR format:
```
La2Zn2CuNi5
1.0
-2.0839 -2.4918 1.4986
6.9677 -2.1656 6.0882
-3.3334 6.4654 6.1148
Ni Zn La Cu
10 4 4 2
Direct
0.5000 0.4466 0.3031
0.5000 0.8031 0.9466
0.5000 0.0534 0.8031
0.5000 0.1969 0.0534
0.5000 0.5534 0.6969
0.5000 0.5000 0.0000
0.5000 0.3031 0.5534
0.5000 0.9466 0.1969
0.5000 0.0000 0.5000
0.5000 0.6969 0.4466
0.0000 0.8838 0.3838
0.0000 0.6162 0.8838
0.0000 0.1162 0.6162
0.0000 0.3838 0.1162
0.0000 0.6818 0.1818
0.0000 0.1818 0.3182
0.0000 0.8182 0.6818
0.0000 0.3182 0.8182
0.0000 0.0000 0.0000
0.0000 0.5000 0.5000
```

---

Entry from Alexandria via LeMat-Bulk: a relaxed SrAs3F crystal (PBE-GGA).

Properties
**Uncorrected formation energy**: 0.896 eV/atom
**Crystal system**: cubic
**SG**: Pm-3m
**Fermi-level density of states**: 7.14 states/eV/f.u.
**Calculated volume**: 37.7 Å³/atom
**Mass density**: 2.921 g/cm³
**VASP energy**: -2.6043 eV per atom

The structure in POSCAR format:
```
SrAs3F
1.0
5.7327 0.0000 0.0000
0.0000 5.7327 0.0000
0.0000 0.0000 5.7327
F As Sr
1 3 1
Direct
0.5000 0.5000 0.5000
0.0000 0.0000 0.5000
0.0000 0.5000 0.0000
0.5000 0.0000 0.0000
0.0000 0.0000 0.0000
```

---

> The lowest calculated volume belongs to which entry?

La2Zn2CuNi5

---

> The highest Fermi-level density of states belongs to which entry?

SrAs3F

---

> Which value of mass density does entry 3 give?

7.871 g/cm³

---

Copy entry 4 word for word.
Entry from Alexandria via LeMat-Bulk: a relaxed SrAs3F crystal (PBE-GGA).

Properties
**Uncorrected formation energy**: 0.896 eV/atom
**Crystal system**: cubic
**SG**: Pm-3m
**Fermi-level density of states**: 7.14 states/eV/f.u.
**Calculated volume**: 37.7 Å³/atom
**Mass density**: 2.921 g/cm³
**VASP energy**: -2.6043 eV per atom

The structure in POSCAR format:
```
SrAs3F
1.0
5.7327 0.0000 0.0000
0.0000 5.7327 0.0000
0.0000 0.0000 5.7327
F As Sr
1 3 1
Direct
0.5000 0.5000 0.5000
0.0000 0.0000 0.5000
0.0000 0.5000 0.0000
0.5000 0.0000 0.0000
0.0000 0.0000 0.0000
```